Material: Pu2TcGe
Method: DFT, PBE-GGA
State: optimized geometry

Structure (CIF):
```
data_Pu2TcGe
_space_group_name_H-M_alt 'P 1'
_space_group_IT_number 1
_cell_length_a 4.894
_cell_length_b 4.894
_cell_length_c 4.894
_cell_angle_alpha 60.00
_cell_angle_beta 60.00
_cell_angle_gamma 60.00
loop_
_space_group_symop_operation_xyz
'x,y,z'
loop_
_atom_site_label
_atom_site_type_symbol
_atom_site_fract_x
_atom_site_fract_y
_atom_site_fract_z
_atom_site_occupancy
Pu1 Pu 0.250 0.250 0.250 1
Pu2 Pu 0.750 0.750 0.750 1
Ge1 Ge 0.500 0.500 0.500 1
Tc1 Tc 0.000 0.000 0.000 1
```

V, A^3/atom: 20.72
N(E_F), states/eV per atom: 2.46
Distance to the lowest polymorph of the same formula, meV per atom: 194
E_form, meV per atom: -24

Material: Rb2Tl2CdF6
Method: DFT, PBE-GGA
State: optimized geometry

Structure (CIF):
```
data_Rb2Tl2CdF6
_space_group_name_H-M_alt 'P 1'
_space_group_IT_number 1
_cell_length_a 6.769
_cell_length_b 6.769
_cell_length_c 6.604
_cell_angle_alpha 98.16
_cell_angle_beta 98.16
_cell_angle_gamma 118.09
loop_
_space_group_symop_operation_xyz
'x,y,z'
loop_
_atom_site_label
_atom_site_type_symbol
_atom_site_fract_x
_atom_site_fract_y
_atom_site_fract_z
_atom_site_occupancy
F1 F 0.669 0.955 0.307 1
F2 F 0.331 0.045 0.693 1
F3 F 0.045 0.331 0.693 1
F4 F 0.955 0.669 0.307 1
F5 F 0.189 0.189 0.256 1
F6 F 0.811 0.811 0.744 1
Tl1 Tl 0.164 0.836 0.000 1
Tl2 Tl 0.836 0.164 0.000 1
Rb1 Rb 0.656 0.344 0.500 1
Rb2 Rb 0.344 0.656 0.500 1
Cd1 Cd 0.000 0.000 0.500 1
```

Calculated total energy, eV per atom: -3.92
V, A^3/atom: 23.33
N(E_F), states/eV per atom: 0.00

Material: PrZnGe4
Method: DFT, PBE-GGA
State: optimized geometry

Structure (CIF):
```
data_PrZnGe4
_space_group_name_H-M_alt 'P 1'
_space_group_IT_number 1
_cell_length_a 5.615
_cell_length_b 5.615
_cell_length_c 5.615
_cell_angle_alpha 60.00
_cell_angle_beta 60.00
_cell_angle_gamma 60.00
loop_
_space_group_symop_operation_xyz
'x,y,z'
loop_
_atom_site_label
_atom_site_type_symbol
_atom_site_fract_x
_atom_site_fract_y
_atom_site_fract_z
_atom_site_occupancy
Ge1 Ge 0.625 0.625 0.625 1
Ge2 Ge 0.625 0.625 0.124 1
Ge3 Ge 0.124 0.625 0.625 1
Ge4 Ge 0.625 0.124 0.625 1
Zn1 Zn 0.000 0.000 0.000 1
Pr1 Pr 0.250 0.250 0.250 1
```

V, A^3/atom: 20.87
N(E_F), states/eV per atom: 0.33
E_form, meV per atom: -166

Material: K3Cd2PbO6
Method: DFT, PBE-GGA
State: optimized geometry

Structure (CIF):
```
data_K3Cd2PbO6
_space_group_name_H-M_alt 'P 1'
_space_group_IT_number 1
_cell_length_a 6.005
_cell_length_b 6.005
_cell_length_c 6.484
_cell_angle_alpha 98.75
_cell_angle_beta 98.75
_cell_angle_gamma 120.20
loop_
_space_group_symop_operation_xyz
'x,y,z'
loop_
_atom_site_label
_atom_site_type_symbol
_atom_site_fract_x
_atom_site_fract_y
_atom_site_fract_z
_atom_site_occupancy
O1 O 0.749 0.749 0.196 1
O2 O 0.934 0.617 0.806 1
O3 O 0.251 0.251 0.804 1
O4 O 0.617 0.934 0.806 1
O5 O 0.383 0.066 0.194 1
O6 O 0.066 0.383 0.194 1
K1 K 0.172 0.828 0.500 1
K2 K 0.828 0.172 0.500 1
K3 K 0.500 0.500 0.500 1
Cd1 Cd 0.334 0.666 0.000 1
Cd2 Cd 0.666 0.334 0.000 1
Pb1 Pb 0.000 0.000 0.000 1
```

Calculated total energy, eV per atom: -4.34
V, A^3/atom: 16.04
N(E_F), states/eV per atom: 0.76

Material: Ba2ScNi
Method: DFT, PBE-GGA
State: optimized geometry

Structure (CIF):
```
data_Ba2ScNi
_space_group_name_H-M_alt 'P 1'
_space_group_IT_number 1
_cell_length_a 7.824
_cell_length_b 7.824
_cell_length_c 7.824
_cell_angle_alpha 90.00
_cell_angle_beta 90.00
_cell_angle_gamma 90.00
loop_
_space_group_symop_operation_xyz
'x,y,z'
loop_
_atom_site_label
_atom_site_type_symbol
_atom_site_fract_x
_atom_site_fract_y
_atom_site_fract_z
_atom_site_occupancy
Ni1 Ni 0.000 0.000 0.500 1
Ni2 Ni 0.500 0.500 0.500 1
Ni3 Ni 0.500 0.000 0.000 1
Ni4 Ni 0.000 0.500 0.000 1
Ba1 Ba 0.500 0.000 0.500 1
Ba2 Ba 0.000 0.000 0.000 1
Ba3 Ba 0.000 0.500 0.500 1
Ba4 Ba 0.250 0.250 0.750 1
Ba5 Ba 0.750 0.250 0.250 1
Ba6 Ba 0.500 0.500 0.000 1
Ba7 Ba 0.250 0.750 0.250 1
Ba8 Ba 0.750 0.750 0.750 1
Sc1 Sc 0.250 0.750 0.750 1
Sc2 Sc 0.750 0.250 0.750 1
Sc3 Sc 0.250 0.250 0.250 1
Sc4 Sc 0.750 0.750 0.250 1
```

V, A^3/atom: 29.93
N(E_F), states/eV per atom: 1.04
Distance to the lowest polymorph of the same formula, meV per atom: 453
E_form, meV per atom: 541

Material: AlCrRh4
Method: DFT, PBE-GGA
State: optimized geometry

Structure (CIF):
```
data_AlCrRh4
_space_group_name_H-M_alt 'P 1'
_space_group_IT_number 1
_cell_length_a 5.088
_cell_length_b 5.088
_cell_length_c 5.088
_cell_angle_alpha 60.00
_cell_angle_beta 60.00
_cell_angle_gamma 60.00
loop_
_space_group_symop_operation_xyz
'x,y,z'
loop_
_atom_site_label
_atom_site_type_symbol
_atom_site_fract_x
_atom_site_fract_y
_atom_site_fract_z
_atom_site_occupancy
Rh1 Rh 0.375 0.375 0.375 1
Rh2 Rh 0.375 0.375 0.875 1
Rh3 Rh 0.375 0.875 0.375 1
Rh4 Rh 0.875 0.375 0.375 1
Al1 Al 0.750 0.750 0.750 1
Cr1 Cr 0.000 0.000 0.000 1
```

V, A^3/atom: 15.52
N(E_F), states/eV per atom: 1.52
E_form, meV per atom: 93

Material: TcHgCl2
Method: DFT, PBE-GGA
State: optimized geometry

Structure (CIF):
```
data_TcHgCl2
_space_group_name_H-M_alt 'P 1'
_space_group_IT_number 1
_cell_length_a 3.185
_cell_length_b 3.185
_cell_length_c 9.803
_cell_angle_alpha 90.00
_cell_angle_beta 90.00
_cell_angle_gamma 90.00
loop_
_space_group_symop_operation_xyz
'x,y,z'
loop_
_atom_site_label
_atom_site_type_symbol
_atom_site_fract_x
_atom_site_fract_y
_atom_site_fract_z
_atom_site_occupancy
Tc1 Tc 0.500 0.500 0.750 1
Cl1 Cl 0.000 0.000 0.909 1
Cl2 Cl 0.000 0.000 0.591 1
Hg1 Hg 0.500 0.500 0.250 1
```

V, A^3/atom: 24.86
N(E_F), states/eV per atom: 0.99
Distance to the lowest polymorph of the same formula, meV per atom: 314

Material: BePtCl3
Method: DFT, PBE-GGA
State: optimized geometry

Structure (CIF):
```
data_BePtCl3
_space_group_name_H-M_alt 'P 1'
_space_group_IT_number 1
_cell_length_a 4.492
_cell_length_b 4.492
_cell_length_c 4.492
_cell_angle_alpha 90.00
_cell_angle_beta 90.00
_cell_angle_gamma 90.00
loop_
_space_group_symop_operation_xyz
'x,y,z'
loop_
_atom_site_label
_atom_site_type_symbol
_atom_site_fract_x
_atom_site_fract_y
_atom_site_fract_z
_atom_site_occupancy
Be1 Be 0.000 0.000 0.000 1
Cl1 Cl 0.000 0.500 0.000 1
Cl2 Cl 0.500 0.000 0.000 1
Cl3 Cl 0.000 0.000 0.500 1
Pt1 Pt 0.500 0.500 0.500 1
```

V, A^3/atom: 18.13
N(E_F), states/eV per atom: 1.09
Distance to the lowest polymorph of the same formula, meV per atom: 0

Material: CsTiBr2
Method: DFT, PBE-GGA
State: optimized geometry

Structure (CIF):
```
data_CsTiBr2
_space_group_name_H-M_alt 'P 1'
_space_group_IT_number 1
_cell_length_a 5.661
_cell_length_b 5.661
_cell_length_c 5.661
_cell_angle_alpha 60.00
_cell_angle_beta 60.00
_cell_angle_gamma 60.00
loop_
_space_group_symop_operation_xyz
'x,y,z'
loop_
_atom_site_label
_atom_site_type_symbol
_atom_site_fract_x
_atom_site_fract_y
_atom_site_fract_z
_atom_site_occupancy
Br1 Br 0.750 0.750 0.750 1
Br2 Br 0.250 0.250 0.250 1
Cs1 Cs 0.500 0.500 0.500 1
Ti1 Ti 0.000 0.000 0.000 1
```

V, A^3/atom: 32.07
N(E_F), states/eV per atom: 0.95
Distance to the lowest polymorph of the same formula, meV per atom: 283

Material: TbHfCuAg
Method: DFT, PBE-GGA
State: optimized geometry

Structure (CIF):
```
data_TbHfCuAg
_space_group_name_H-M_alt 'P 1'
_space_group_IT_number 1
_cell_length_a 4.882
_cell_length_b 4.882
_cell_length_c 4.882
_cell_angle_alpha 60.00
_cell_angle_beta 60.00
_cell_angle_gamma 60.00
loop_
_space_group_symop_operation_xyz
'x,y,z'
loop_
_atom_site_label
_atom_site_type_symbol
_atom_site_fract_x
_atom_site_fract_y
_atom_site_fract_z
_atom_site_occupancy
Tb1 Tb 0.500 0.500 0.500 1
Hf1 Hf 0.000 0.000 0.000 1
Cu1 Cu 0.250 0.250 0.250 1
Ag1 Ag 0.750 0.750 0.750 1
```

V, A^3/atom: 20.57
N(E_F), states/eV per atom: 1.22
E_form, meV per atom: -25

Material: LiAu2
Method: DFT, PBE-GGA
State: optimized geometry

Structure (CIF):
```
data_LiAu2
_space_group_name_H-M_alt 'P 1'
_space_group_IT_number 1
_cell_length_a 3.897
_cell_length_b 3.897
_cell_length_c 3.828
_cell_angle_alpha 90.00
_cell_angle_beta 90.00
_cell_angle_gamma 90.00
loop_
_space_group_symop_operation_xyz
'x,y,z'
loop_
_atom_site_label
_atom_site_type_symbol
_atom_site_fract_x
_atom_site_fract_y
_atom_site_fract_z
_atom_site_occupancy
Li1 Li 0.000 0.000 0.000 1
Au1 Au 0.000 0.500 0.500 1
Au2 Au 0.500 0.000 0.500 1
```

V, A^3/atom: 19.37
N(E_F), states/eV per atom: 0.24
E_form, meV per atom: -274

Material: Sm3SbS2
Method: DFT, PBE-GGA
State: optimized geometry

Structure (CIF):
```
data_Sm3SbS2
_space_group_name_H-M_alt 'P 1'
_space_group_IT_number 1
_cell_length_a 6.698
_cell_length_b 7.758
_cell_length_c 7.758
_cell_angle_alpha 90.49
_cell_angle_beta 90.00
_cell_angle_gamma 90.00
loop_
_space_group_symop_operation_xyz
'x,y,z'
loop_
_atom_site_label
_atom_site_type_symbol
_atom_site_fract_x
_atom_site_fract_y
_atom_site_fract_z
_atom_site_occupancy
Sm1 Sm 0.250 0.745 0.571 1
Sm2 Sm 0.750 0.255 0.429 1
Sm3 Sm 0.250 0.897 0.103 1
Sm4 Sm 0.750 0.571 0.745 1
Sm5 Sm 0.750 0.103 0.897 1
Sm6 Sm 0.250 0.429 0.255 1
S1 S 0.000 0.832 0.832 1
S2 S 0.000 0.168 0.168 1
S3 S 0.500 0.832 0.832 1
S4 S 0.500 0.168 0.168 1
Sb1 Sb 0.750 0.648 0.352 1
Sb2 Sb 0.250 0.352 0.648 1
```

V, A^3/atom: 33.60
N(E_F), states/eV per atom: 0.58
Distance to the lowest polymorph of the same formula, meV per atom: 217